Entry 1:
U4TiGa12 | PBE | relaxed

Geometry as POSCAR:
```
U4TiGa12
1.0
-4.3171 4.3171 4.3171
4.3171 -4.3171 4.3171
4.3171 4.3171 -4.3171
U Ti Ga
4 1 12
direct
0.0000 0.0000 0.5000
0.0000 0.5000 0.0000
0.5000 0.0000 0.0000
0.5000 0.5000 0.5000
0.0000 0.0000 0.0000
0.0000 0.2963 0.2963
0.0000 0.7037 0.7037
0.2500 0.5000 0.7500
0.2500 0.7500 0.5000
0.2963 0.0000 0.2963
0.2963 0.2963 0.0000
0.5000 0.2500 0.7500
0.5000 0.7500 0.2500
0.7037 0.0000 0.7037
0.7037 0.7037 0.0000
0.7500 0.2500 0.5000
0.7500 0.5000 0.2500
```

Results
N(E_F)   1.6670 states/eV/atom
Space-group type   Im-3m (229)
E_tot   -0.2020 hartree per atom
ΔH_f (0 K)   -0.24 eV per atom



Entry 2:
Ba2ErTlSe5 | PBE | relaxed

Geometry as POSCAR:
```
Ba2ErTlSe5
1.0
2.1578 -9.5695 0.0000
2.1578 9.5695 0.0000
0.0000 0.0000 13.4959
Ba Er Tl Se
4 2 2 10
direct
0.1199 0.8801 0.5000
0.1363 0.8637 0.1302
0.8637 0.1363 0.6302
0.8801 0.1199 0.0000
0.2107 0.7893 0.8326
0.7893 0.2107 0.3326
0.4538 0.5462 0.2579
0.5462 0.4538 0.7579
0.0538 0.9462 0.8778
0.2915 0.7085 0.4707
0.3117 0.6883 0.1875
0.3542 0.6458 0.8182
0.4933 0.5067 0.5797
0.5067 0.4933 0.0797
0.6458 0.3542 0.3182
0.6883 0.3117 0.6875
0.7085 0.2915 0.9707
0.9462 0.0538 0.3778
```

Results
Space-group type   Cmc2_1 (36)
E_form (uncorrected)   -1.519 eV per atom
E_tot   -0.1709 hartree per atom



Entry 3:
Ag5SbAu | PBE | relaxed

Geometry as POSCAR:
```
Ag5SbAu
1.0
4.8673 -2.7559 0.0000
4.8673 2.7559 0.0000
-1.8504 0.0000 10.4557
Ag Sb Au
10 2 2
direct
0.1102 0.2057 0.5434
0.1722 0.3461 0.8206
0.1786 0.8214 0.7500
0.2057 0.1102 0.0434
0.3461 0.1722 0.3206
0.6539 0.8278 0.6794
0.7943 0.8898 0.9566
0.8214 0.1786 0.2500
0.8278 0.6539 0.1794
0.8898 0.7943 0.4566
0.3175 0.6825 0.2500
0.6825 0.3175 0.7500
0.5000 0.5000 0.0000
0.5000 0.5000 0.5000
```

Results
N(E_F)   0.1949 states/eV/atom
Space-group type   C2/c (15)
E_form (uncorrected)   0.103 eV per atom
E_tot   -0.1099 hartree per atom



Entry 4:
La3AlGe | PBE | relaxed

Geometry as POSCAR:
```
La3AlGe
1.0
0.0000 4.7462 8.3706
3.6067 0.0000 8.3706
3.6067 4.7462 0.0000
La Al Ge
6 2 2
direct
0.1896 0.1896 0.8104
0.2102 0.5990 0.4010
0.4010 0.7898 0.2102
0.5990 0.2102 0.7898
0.7898 0.4010 0.5990
0.8104 0.8104 0.1896
0.1824 0.8176 0.8176
0.8176 0.1824 0.1824
0.2500 0.2500 0.2500
0.7500 0.7500 0.7500
```

Results
N(E_F)   0.6063 states/eV/atom
Space-group type   Fmmm (69)
E_tot   -0.1893 hartree per atom
ΔH_f (0 K)   -0.52 eV per atom



Entry 5:
RuRh2Au | PBE | relaxed

Geometry as POSCAR:
```
RuRh2Au
1.0
9.1551 0.0000 0.0000
0.0000 2.7752 0.0000
-0.8457 0.0000 4.7236
Ru Rh Au
2 4 2
direct
0.0000 0.0000 0.0000
0.5000 0.5000 0.0000
0.2446 0.5000 0.2368
0.2554 0.0000 0.7632
0.7446 0.0000 0.2368
0.7554 0.5000 0.7632
0.0000 0.5000 0.5000
0.5000 0.0000 0.5000
```

Results
N(E_F)   1.2582 states/eV/atom
Space-group type   C2/m (12)
E_tot   -0.2431 hartree per atom
ΔH_f (0 K)   0.20 eV per atom



Entry 6:
Tb6PrHo2Sc3 | PBE | relaxed

Geometry as POSCAR:
```
Tb6PrHo2Sc3
1.0
3.0360 -5.2562 0.0000
3.0360 5.2562 0.0000
-2.0199 0.0000 11.3296
Tb Pr Ho Sc
6 1 2 3
direct
0.0791 0.4130 0.2397
0.2530 0.2530 0.7605
0.4130 0.0791 0.2397
0.5870 0.9209 0.7603
0.7470 0.7470 0.2395
0.9209 0.5870 0.7603
0.5000 0.5000 0.5000
0.1666 0.8334 0.5000
0.8334 0.1666 0.5000
0.0000 0.0000 0.0000
0.3329 0.6671 0.0000
0.6671 0.3329 0.0000
```

Results
N(E_F)   1.3947 states/eV/atom
Space-group type   C2/m (12)
E_tot   -0.1843 hartree per atom
ΔH_f (0 K)   0.05 eV per atom



Entry 7:
Ac2AlZn4Pt3 | PBE | relaxed

Geometry as POSCAR:
```
Ac2AlZn4Pt3
1.0
4.2008 0.0000 0.0000
0.0000 4.2008 0.0000
0.0000 0.0000 11.6720
Ac Al Zn Pt
2 1 4 3
direct
0.0000 0.5000 0.2433
0.5000 0.0000 0.7567
0.0000 0.0000 0.5000
0.0000 0.0000 0.0000
0.0000 0.5000 0.6337
0.5000 0.0000 0.3663
0.5000 0.5000 0.0000
0.0000 0.5000 0.8608
0.5000 0.0000 0.1392
0.5000 0.5000 0.5000
```

Results
N(E_F)   0.4857 states/eV/atom
Space-group type   P-4m2 (115)
E_tot   -0.1556 hartree per atom
ΔH_f (0 K)   -0.72 eV per atom



Entry 8:
SrBePt3 | PBE | relaxed

Geometry as POSCAR:
```
SrBePt3
1.0
5.2733 -2.2608 0.0000
5.2733 2.2608 0.0000
-0.1302 0.0000 8.9613
Sr Be Pt
2 2 6
direct
0.1393 0.1393 0.3654
0.8607 0.8607 0.6346
0.3686 0.3686 0.1233
0.6314 0.6314 0.8767
0.1797 0.1797 0.0179
0.4195 0.4195 0.8699
0.4348 0.4348 0.3718
0.5652 0.5652 0.6282
0.5805 0.5805 0.1301
0.8203 0.8203 0.9821
```

Results
N(E_F)   0.5038 states/eV/atom
Space-group type   C2/m (12)
E_tot   -0.1877 hartree per atom
ΔH_f (0 K)   -0.40 eV per atom



Entry 9:
NaMg2PdSe | PBE | relaxed

Geometry as POSCAR:
```
NaMg2PdSe
1.0
4.9507 0.0000 0.0000
0.0000 4.9507 0.0000
0.0000 0.0000 5.2360
Na Mg Pd Se
1 2 1 1
direct
0.0000 0.0000 0.0000
0.0000 0.5000 0.5000
0.5000 0.0000 0.5000
0.0000 0.0000 0.5000
0.5000 0.5000 0.0000
```

Results
N(E_F)   0.5025 states/eV/atom
Space-group type   P4/mmm (123)
E_form (uncorrected)   -0.190 eV per atom
E_tot   -0.1039 hartree per atom



Entry 10:
Ta2OsPt | PBE | relaxed

Geometry as POSCAR:
```
Ta2OsPt
1.0
4.1113 0.0000 0.0000
0.0000 4.1113 0.0000
0.0000 0.0000 7.7277
Ta Os Pt
4 2 2
direct
0.0000 0.5000 0.2500
0.0000 0.5000 0.7500
0.5000 0.0000 0.2500
0.5000 0.0000 0.7500
0.0000 0.0000 0.0000
0.5000 0.5000 0.5000
0.0000 0.0000 0.5000
0.5000 0.5000 0.0000
```

Results
N(E_F)   0.6930 states/eV/atom
Space-group type   I4/mmm (139)
E_tot   -0.3933 hartree per atom
ΔH_f (0 K)   -0.46 eV per atom



Entry 11:
LiZr2NiH | PBE | relaxed

Geometry as POSCAR:
```
LiZr2NiH
1.0
4.4535 0.0000 0.0000
0.0000 4.4535 0.0000
0.0000 0.0000 3.5453
Li Zr Ni H
1 2 1 1
direct
0.0000 0.0000 0.0000
0.0000 0.5000 0.5000
0.5000 0.0000 0.5000
0.5000 0.5000 0.0000
0.0000 0.0000 0.5000
```

Results
N(E_F)   0.7985 states/eV/atom
Space-group type   P4/mmm (123)
E_tot   -0.2135 hartree per atom



Entry 12:
RbTl3Pd3 | PBE | relaxed

Geometry as POSCAR:
```
RbTl3Pd3
1.0
7.6514 0.0000 0.0000
0.0000 7.6514 0.0000
0.0000 0.0000 7.6514
Rb Tl Pd
2 6 6
direct
0.0000 0.0000 0.0000
0.5000 0.5000 0.5000
0.0000 0.2500 0.5000
0.0000 0.7500 0.5000
0.2500 0.5000 0.0000
0.5000 0.0000 0.2500
0.5000 0.0000 0.7500
0.7500 0.5000 0.0000
0.0000 0.5000 0.2500
0.0000 0.5000 0.7500
0.2500 0.0000 0.5000
0.5000 0.2500 0.0000
0.5000 0.7500 0.0000
0.7500 0.0000 0.5000
```

Results
N(E_F)   0.5004 states/eV/atom
Space-group type   Pm-3n (223)
E_tot   -0.1232 hartree per atom
ΔH_f (0 K)   0.03 eV per atom